(1)
## ReAg2P (PBE)

Data for a relaxed ReAg2P crystal.

E   -5.56 eV per atom
N(E_F)   2.77 states/eV/f.u.
Formation enthalpy at 0 K   0.334 eV per atom
Calculated volume   17.049 Å³ per atom

Cell lengths 2.846, 2.846, 9.243 Å; angles 90.00, 90.00, 114.35 degrees
Fractional positions:
Ag1 0.000 0.000 0.990
Ag2 0.500 0.500 0.251
P1 0.000 0.000 0.537
Re1 0.500 0.500 0.722

(2)
## ReAg2P (PBE)

Data for a relaxed ReAg2P crystal.

E   -5.72 eV per atom
N(E_F)   2.52 states/eV/f.u.
Formation enthalpy at 0 K   0.172 eV per atom
Calculated volume   16.640 Å³ per atom

Cell lengths 2.983, 3.017, 7.545 Å; angles 78.57, 90.00, 90.00 degrees
Fractional positions:
Ag1 0.000 0.070 0.985
Ag2 0.500 0.435 0.257
P1 0.000 0.285 0.553
Re1 0.500 0.709 0.705

(3)
## ReAgP3 (PBE)

Data for a relaxed ReAgP3 crystal.

E above lowest polymorph   1223 meV per atom
E   -4.38 eV per atom
N(E_F)   5.47 states/eV/f.u.
Formation enthalpy at 0 K   1.930 eV per atom
Calculated volume   20.601 Å³ per atom

Cell lengths 4.688, 4.688, 4.688 Å; angles 90.00, 90.00, 90.00 degrees
Site moments in Bohr magnetons follow the coordinates.
Fractional positions:
Re1 0.500 0.500 0.500  2.83
Ag1 0.000 0.000 0.000  -0.01
P1 0.000 0.500 0.000  -0.20
P2 0.000 0.000 0.500  -0.15
P3 0.500 0.000 0.000  -0.17